Here is Cr4OF11 after structural relaxation from Alexandria via LeMat-Bulk. Energies are from GGA+U.

Properties
The calculation puts the total energy at -5.856 eV per atom. The value obtained for the energy above the most stable polymorph in this dataset is 0.1731 eV/atom. The space group is P1 (1).

Cell: 5.5006 5.5332 9.3165 Å, 80.66 77.75 64.54°
Atoms (fractional coordinates):
Cr: 0.0000 0.0000 0.0000
Cr: 0.2449 0.7522 0.7573
Cr: 0.4995 0.4991 0.5055
Cr: 0.7499 0.2509 0.2526
O: 0.2783 0.0081 0.8505
F: 0.1299 0.0178 0.1767
F: 0.1988 0.6139 0.9664
F: 0.2035 0.4794 0.6595
F: 0.2851 0.8798 0.5476
F: 0.3709 0.4841 0.3270
F: 0.6247 0.5195 0.6852
F: 0.7002 0.9867 0.1587
F: 0.7104 0.1196 0.4627
F: 0.7880 0.3790 0.0409
F: 0.7975 0.5146 0.3502
F: 0.8575 0.9718 0.8288